(1)
{"formula": "La2SmSc", "functional": "PBE", "state": "optimized geometry", "total_magnetization_mub_per_fu": 0.000, "rho_g_cm3": 6.01, "energy_ev_per_atom": -5.16, "de_polymorph_ev_per_atom": 0.0278, "formation_enthalpy_0k_ev_per_atom": 0.07, "cell": [[-0.304, 0.579, -3.533], [6.425, -2.010, 0.945], [-3.089, -10.563, -1.465]], "species": ["Sc", "La", "La", "Sm", "Sm", "La", "Sc", "La"], "fractional_positions": [[0.018, 0.037, 0.750], [0.623, 0.245, 0.477], [0.623, 0.245, 0.023], [0.744, 0.489, 0.750], [0.256, 0.511, 0.250], [0.377, 0.755, 0.977], [0.982, 0.963, 0.250], [0.377, 0.755, 0.523]]}

---

(2)
{"formula": "La2Sm5Sc", "functional": "PBE", "state": "optimized geometry", "total_magnetization_mub_per_fu": 0.000, "rho_g_cm3": 6.69, "energy_ev_per_atom": -4.93, "de_polymorph_ev_per_atom": 0.0000, "formation_enthalpy_0k_ev_per_atom": 0.04, "cell": [[5.018, 0.000, -0.973], [-0.189, 5.014, -0.973], [-0.508, -0.527, 10.806]], "species": ["Sm", "Sc", "Sm", "La", "La", "Sm", "Sm", "Sm"], "fractional_positions": [[0.120, 0.620, 0.239], [0.000, 0.000, 0.000], [0.880, 0.380, 0.761], [0.750, 0.750, 0.499], [0.250, 0.250, 0.501], [0.500, 0.500, 0.000], [0.620, 0.120, 0.239], [0.380, 0.880, 0.761]]}

---

(3)
{"formula": "La2Sm5Sc", "functional": "PBE", "state": "optimized geometry", "total_magnetization_mub_per_fu": 0.000, "rho_g_cm3": 6.56, "energy_ev_per_atom": -4.85, "de_polymorph_ev_per_atom": 0.0857, "formation_enthalpy_0k_ev_per_atom": 0.12, "cell": [[5.693, 0.000, 0.000], [-2.847, 5.985, 0.000], [0.000, 0.000, 15.966]], "species": ["Sm", "La", "Sm", "Sm", "Sm", "Sm", "Sm", "Sm", "La", "La", "La", "Sc", "Sm", "Sc", "Sm", "Sm"], "fractional_positions": [[0.383, 0.766, 0.448], [0.782, 0.564, 0.366], [0.469, 0.938, 0.750], [0.920, 0.841, 0.906], [0.080, 0.159, 0.406], [0.383, 0.766, 0.052], [0.617, 0.234, 0.948], [0.080, 0.159, 0.094], [0.782, 0.564, 0.134], [0.218, 0.436, 0.866], [0.218, 0.436, 0.634], [0.740, 0.481, 0.750], [0.531, 0.062, 0.250], [0.260, 0.519, 0.250], [0.920, 0.841, 0.594], [0.617, 0.234, 0.552]]}

---

(4)
{"formula": "La2Sm7Sc", "functional": "PBE", "state": "optimized geometry", "total_magnetization_mub_per_fu": 0.000, "rho_g_cm3": 6.74, "energy_ev_per_atom": -4.76, "formation_enthalpy_0k_ev_per_atom": 0.17, "cell": [[-1.296, 1.981, 2.535], [-12.951, -7.404, -0.835], [13.805, 2.382, 5.196]], "species": ["Sc", "La", "Sm", "Sm", "Sm", "Sm", "Sm", "Sm", "La", "Sm"], "fractional_positions": [[0.000, 0.000, 0.000], [0.500, 0.704, 0.296], [0.000, 0.186, 0.814], [0.500, 0.335, 0.145], [0.500, 0.145, 0.335], [0.500, 0.500, 0.500], [0.500, 0.665, 0.855], [0.500, 0.855, 0.665], [0.500, 0.296, 0.704], [0.000, 0.814, 0.186]]}